1.
Ho6Si3C: optimized geometry, PBE.

Results
Size of the total moment: 0.00 μB/cell
Total energy: -5.82 eV/atom

CIF file:
```
data_Ho6Si3C
_symmetry_space_group_name_H-M 'P 1 21/c 1'
_symmetry_Int_Tables_number 14
_cell_length_a 6.286
_cell_length_b 7.618
_cell_length_c 11.591
_cell_angle_alpha 90.00
_cell_angle_beta 122.02
_cell_angle_gamma 90.00
loop_
_symmetry_equiv_pos_as_xyz
'x,y,z'
'-x,-y,-z'
'-x,y+1/2,-z+1/2'
'x,-y+1/2,z+1/2'
loop_
_atom_site_label
_atom_site_fract_x
_atom_site_fract_y
_atom_site_fract_z
Ho1 0.099 0.050 0.234
Ho2 0.205 0.704 0.063
Ho3 0.385 0.165 0.062
Si1 0.311 0.106 0.747
Si2 0.500 0.000 0.500
C1 0.000 0.000 0.000
```

---

2.
Ho4SiSnC: optimized geometry, PBE.

Results
Size of the total moment: 0.00 μB/cell
Total energy: -5.87 eV/atom

CIF file:
```
data_Ho4SiSnC
_symmetry_space_group_name_H-M 'C m c m'
_symmetry_Int_Tables_number 63
_symmetry_space_group_name_Hall '-C 2c 2'
_cell_length_a 6.659
_cell_length_b 15.456
_cell_length_c 6.662
_cell_angle_alpha 90.00
_cell_angle_beta 90.00
_cell_angle_gamma 90.00
loop_
_atom_site_label
_atom_site_fract_x
_atom_site_fract_y
_atom_site_fract_z
Ho1 0.000 0.082 0.250
Ho2 0.000 0.409 0.250
Ho3 0.250 0.250 0.000
Si1 0.000 0.116 0.750
Sn1 0.000 0.392 0.750
C1 0.000 0.248 0.250
```

---

3.
Ho2Ta2Si2C: optimized geometry, PBE.

Results
Size of the total moment: 0.00 μB/cell
Total energy: -8.15 eV/atom

CIF file:
```
data_Ho2Ta2Si2C
_symmetry_space_group_name_H-M 'I 4/m m m'
_symmetry_Int_Tables_number 139
_symmetry_space_group_name_Hall '-I 4 2'
_cell_length_a 4.224
_cell_length_b 4.224
_cell_length_c 14.859
_cell_angle_alpha 90.00
_cell_angle_beta 90.00
_cell_angle_gamma 90.00
loop_
_atom_site_label
_atom_site_fract_x
_atom_site_fract_y
_atom_site_fract_z
Ho1 0.000 0.000 0.168
Ta1 0.000 0.500 0.000
Si1 0.000 0.000 0.374
C1 0.000 0.000 0.000
```

---

4.
HoSiTc2C: optimized geometry, PBE.

Results
Size of the total moment: 0.00 μB/cell
Total energy: -8.51 eV/atom

CIF file:
```
data_HoSiTc2C
_symmetry_space_group_name_H-M 'C m c m'
_symmetry_Int_Tables_number 63
_symmetry_space_group_name_Hall '-C 2c 2'
_cell_length_a 3.858
_cell_length_b 10.993
_cell_length_c 7.299
_cell_angle_alpha 90.00
_cell_angle_beta 90.00
_cell_angle_gamma 90.00
loop_
_atom_site_label
_atom_site_fract_x
_atom_site_fract_y
_atom_site_fract_z
Ho1 0.000 0.043 0.250
Si1 0.000 0.234 0.750
Tc1 0.000 0.329 0.059
C1 0.000 0.500 0.000
```

---

5.
SmHoC2: optimized geometry, PBE.

Results
Size of the total moment: 0.00 μB/cell
Total energy: -6.82 eV/atom
Energy of formation: 0.1204 eV per atom

CIF file:
```
data_SmHoC2
_symmetry_space_group_name_H-M 'R -3 m'
_symmetry_Int_Tables_number 166
_symmetry_space_group_name_Hall '-R 3 2"'
_cell_length_a 3.6468
_cell_length_b 3.6468
_cell_length_c 17.8149
_cell_angle_alpha 90.00
_cell_angle_beta 90.00
_cell_angle_gamma 120.00
loop_
_atom_site_label
_atom_site_fract_x
_atom_site_fract_y
_atom_site_fract_z
Sm1 0.0000 0.0000 0.0000
Ho1 0.0000 0.0000 0.5000
C1 0.0000 0.0000 0.2468
```

---

6.
Sm3HoC8: optimized geometry, PBE.

Results
Size of the total moment: 0.00 μB/cell
Total energy: -7.57 eV/atom
Energy of formation: 0.1415 eV per atom

CIF file:
```
data_Sm3HoC8
_symmetry_space_group_name_H-M 'I -4 2 m'
_symmetry_Int_Tables_number 121
_symmetry_space_group_name_Hall 'I -4 2'
_cell_length_a 7.155
_cell_length_b 7.155
_cell_length_c 7.614
_cell_angle_alpha 90.00
_cell_angle_beta 90.00
_cell_angle_gamma 90.00
loop_
_atom_site_label
_atom_site_fract_x
_atom_site_fract_y
_atom_site_fract_z
Sm1 0.000 0.000 0.000
Sm2 0.000 0.500 0.250
Ho1 0.000 0.000 0.500
C1 0.161 0.161 0.276
C2 0.234 0.234 0.873
```

---

7.
SmHo2C: optimized geometry, PBE.

Results
Size of the total moment: 1.30 μB/cell
Total energy: -5.95 eV/atom
Energy of formation: -0.1751 eV per atom

CIF file:
```
data_SmHo2C
_symmetry_space_group_name_H-M 'R -3 m'
_symmetry_Int_Tables_number 166
_symmetry_space_group_name_Hall '-R 3 2"'
_cell_length_a 3.5664
_cell_length_b 3.5664
_cell_length_c 27.7035
_cell_angle_alpha 90.00
_cell_angle_beta 90.00
_cell_angle_gamma 120.00
loop_
_atom_site_label
_atom_site_fract_x
_atom_site_fract_y
_atom_site_fract_z
Sm1 0.0000 0.0000 0.0000
Ho1 0.0000 0.0000 0.2153
C1 0.0000 0.0000 0.5000
```

---

8.
SmHo3C2: optimized geometry, PBE.

Results
Size of the total moment: 4.90 μB/cell
Total energy: -6.41 eV/atom
Energy of formation: -0.2603 eV per atom

CIF file:
```
data_SmHo3C2
_symmetry_space_group_name_H-M 'R -3 m'
_symmetry_Int_Tables_number 166
_symmetry_space_group_name_Hall '-R 3 2"'
_cell_length_a 7.1997
_cell_length_b 7.1997
_cell_length_c 18.5445
_cell_angle_alpha 90.00
_cell_angle_beta 90.00
_cell_angle_gamma 120.00
loop_
_atom_site_label
_atom_site_fract_x
_atom_site_fract_y
_atom_site_fract_z
Sm1 0.0000 0.0000 0.2442
Ho1 0.0018 0.5009 0.7621
C1 0.0000 0.0000 0.5000
C2 0.0000 0.5000 0.5000
```

---

9.
SmHo3C8: optimized geometry, PBE.

Results
Size of the total moment: 0.00 μB/cell
Total energy: -7.56 eV/atom
Energy of formation: 0.1265 eV per atom

CIF file:
```
data_SmHo3C8
_symmetry_space_group_name_H-M 'F m m 2'
_symmetry_Int_Tables_number 42
_symmetry_space_group_name_Hall 'F 2 -2'
_cell_length_a 9.279
_cell_length_b 9.739
_cell_length_c 8.087
_cell_angle_alpha 90.00
_cell_angle_beta 90.00
_cell_angle_gamma 90.00
loop_
_atom_site_label
_atom_site_fract_x
_atom_site_fract_y
_atom_site_fract_z
Sm1 0.000 0.000 0.000
Ho1 0.000 0.000 0.508
Ho2 0.250 0.250 0.224
C1 0.000 0.168 0.750
C2 0.000 0.250 0.378
C3 0.168 0.000 0.270
C4 0.244 0.000 0.645
```

---

10.
Sm2HoC: optimized geometry, PBE.

Results
Size of the total moment: 0.00 μB/cell
Total energy: -5.78 eV/atom
Energy of formation: 0.0255 eV per atom

CIF file:
```
data_Sm2HoC
_symmetry_space_group_name_H-M 'R -3 m'
_symmetry_Int_Tables_number 166
_symmetry_space_group_name_Hall '-R 3 2"'
_cell_length_a 3.5876
_cell_length_b 3.5876
_cell_length_c 29.4970
_cell_angle_alpha 90.00
_cell_angle_beta 90.00
_cell_angle_gamma 120.00
loop_
_atom_site_label
_atom_site_fract_x
_atom_site_fract_y
_atom_site_fract_z
Sm1 0.0000 0.0000 0.1194
Ho1 0.0000 0.0000 0.0000
C1 0.0000 0.0000 0.5000
```

---

11.
SmHo8C4: optimized geometry, PBE.

Results
Size of the total moment: 1.24 μB/cell
Total energy: -6.22 eV/atom
Energy of formation: -0.1985 eV per atom

CIF file:
```
data_SmHo8C4
_symmetry_space_group_name_H-M 'C 1 2/m 1'
_symmetry_Int_Tables_number 12
_cell_length_a 17.984
_cell_length_b 3.583
_cell_length_c 12.385
_cell_angle_alpha 90.00
_cell_angle_beta 132.27
_cell_angle_gamma 90.00
loop_
_symmetry_equiv_pos_as_xyz
'x,y,z'
'-x,-y,-z'
'-x,y,-z'
'x,-y,z'
'x+1/2,y+1/2,z'
'-x+1/2,-y+1/2,-z'
'-x+1/2,y+1/2,-z'
'x+1/2,-y+1/2,z'
loop_
_atom_site_label
_atom_site_fract_x
_atom_site_fract_y
_atom_site_fract_z
Sm1 0.000 0.000 0.000
Ho1 0.042 0.000 0.731
Ho2 0.140 0.500 0.598
Ho3 0.164 0.500 0.349
Ho4 0.206 0.500 0.064
C1 0.149 0.000 0.468
C2 0.167 0.500 0.826
```

---

12.
SmHoC: optimized geometry, PBE.

Results
Size of the total moment: 0.00 μB/cell
Total energy: -6.38 eV/atom
Energy of formation: -0.2085 eV per atom

CIF file:
```
data_SmHoC
_symmetry_space_group_name_H-M 'P 3 m 1'
_symmetry_Int_Tables_number 156
_cell_length_a 3.5942
_cell_length_b 3.5942
_cell_length_c 6.3915
_cell_angle_alpha 90.00
_cell_angle_beta 90.00
_cell_angle_gamma 120.00
loop_
_symmetry_equiv_pos_as_xyz
'x,y,z'
'-y,x-y,z'
'-x+y,-x,z'
'-y,-x,z'
'-x+y,y,z'
'x,x-y,z'
loop_
_atom_site_label
_atom_site_fract_x
_atom_site_fract_y
_atom_site_fract_z
Sm1 0.0000 0.0000 0.0000
Ho1 0.3333 0.6667 0.4289
C1 0.6667 0.3333 0.2258
```